1.
The following is a PBE calculation of a geometry-optimized HgSeO2 structure, from the Alexandria database.

Cell lengths 6.2286, 6.2286, 6.2298 Å; angles 60.01, 60.01, 90.00 degrees
Sites, in units of the cell vectors:
Se 0.2500 0.7500 0.5000
Hg 0.0000 0.0000 0.0000
Hg 0.7500 0.2500 0.5000
O 0.8750 0.6252 0.7500
Se 0.5000 0.5000 0.0000
O 0.3750 0.6248 0.7500
O 0.3752 0.1250 0.2500
O 0.3748 0.6250 0.2500

Results
Magnetization ... 0.00 μB/f.u.
Formation energy from raw total energies ... -0.13 eV per atom
V ... 170.93 Å³/cell
Crystal system ... cubic
Energy relative to the lowest polymorph listed for this composition ... 228 meV per atom


2.
The following is a PBE calculation of a geometry-optimized Hg2SeO3 structure, from the Alexandria database.

Cell lengths 5.2668, 9.0040, 12.3933 Å; angles 57.04, 90.00, 90.00 degrees
Sites, in units of the cell vectors:
O 0.0746 0.1737 0.8464
O 0.3471 0.8871 0.2438
O 0.8442 0.3795 0.2985
Hg 0.7591 0.5804 0.0945
O 0.1529 0.8871 0.7438
O 0.9254 0.8263 0.1536
Hg 0.1994 0.2241 0.6554
Se 0.2461 0.8421 0.6321
Se 0.2539 0.8421 0.1321
O 0.8471 0.1129 0.2562
Hg 0.2409 0.4196 0.9055
Se 0.7461 0.1579 0.8679
O 0.6529 0.1129 0.7562
Hg 0.7409 0.5804 0.5945
O 0.6558 0.3795 0.7985
O 0.5746 0.8263 0.6536
Hg 0.3006 0.2241 0.1554
O 0.1558 0.6205 0.7015
Hg 0.2591 0.4196 0.4055
Hg 0.8006 0.7759 0.3446
Se 0.7539 0.1579 0.3679
O 0.4254 0.1737 0.3464
Hg 0.6994 0.7759 0.8446
O 0.3442 0.6205 0.2015

Results
Magnetization ... 0.00 μB/f.u.
Formation energy from raw total energies ... -0.57 eV per atom
V ... 493.10 Å³/cell
Crystal system ... monoclinic


3.
The following is a PBE calculation of a geometry-optimized Hg2SeO4 structure, from the Alexandria database.

Cell lengths 4.8359, 6.4321, 8.8618 Å; angles 87.76, 90.00, 90.00 degrees
Sites, in units of the cell vectors:
O 0.7710 0.4943 0.0956
Se 0.4437 0.5000 0.7500
Hg 0.0725 0.8100 0.9778
O 0.7710 0.5057 0.4044
O 0.2290 0.4943 0.5956
O 0.6216 0.2801 0.7641
O 0.3784 0.2801 0.2641
Se 0.5563 0.5000 0.2500
Hg 0.9275 0.1900 0.0222
O 0.6216 0.7199 0.7359
Hg 0.9275 0.8100 0.4778
O 0.3784 0.7199 0.2359
Hg 0.0725 0.1900 0.5222
O 0.2290 0.5057 0.9044

Results
Magnetization ... 0.00 μB/f.u.
Formation energy from raw total energies ... -0.52 eV per atom
V ... 275.44 Å³/cell
Crystal system ... monoclinic
Energy relative to the lowest polymorph listed for this composition ... 0 meV per atom


4.
The following is a PBE calculation of a geometry-optimized Hg2SeO3 structure, from the Alexandria database.

Cell lengths 10.3276, 10.3276, 5.2471 Å; angles 90.00, 90.00, 112.80 degrees
Sites, in units of the cell vectors:
O 0.4103 0.1921 0.9174
Hg 0.9664 0.8051 0.0263
Hg 0.3609 0.8674 0.5499
O 0.5076 0.0937 0.5117
O 0.7419 0.8793 0.9898
O 0.5897 0.8079 0.4174
Hg 0.8674 0.3609 0.0499
O 0.1921 0.4103 0.4174
Hg 0.0336 0.1949 0.5263
Se 0.7890 0.5730 0.5865
O 0.8793 0.7419 0.4898
O 0.4924 0.9063 0.0117
O 0.9063 0.4924 0.5117
O 0.0937 0.5076 0.0117
O 0.2581 0.1207 0.4898
Hg 0.6391 0.1326 0.0499
Hg 0.1326 0.6391 0.5499
Hg 0.1949 0.0336 0.0263
O 0.8079 0.5897 0.9174
Hg 0.8051 0.9664 0.5263
Se 0.2110 0.4270 0.0865
Se 0.5730 0.7890 0.0865
O 0.1207 0.2581 0.9898
Se 0.4270 0.2110 0.5865

Results
Magnetization ... 0.00 μB/f.u.
Formation energy from raw total energies ... -0.57 eV per atom
V ... 515.94 Å³/cell
Crystal system ... orthorhombic


5.
The following is a PBE calculation of a geometry-optimized Hg3Se3O10 structure, from the Alexandria database.

Cell lengths 5.3916, 8.8634, 11.4967 Å; angles 73.02, 90.00, 90.00 degrees
Sites, in units of the cell vectors:
O 0.4909 0.7931 0.2869
O 0.9577 0.1477 0.9952
O 0.0836 0.2663 0.2230
Hg 0.2629 0.3608 0.7747
O 0.9073 0.0932 0.5319
O 0.5770 0.5031 0.6614
Hg 0.2494 0.0001 0.1258
O 0.1067 0.8731 0.8308
Se 0.7272 0.2612 0.0363
Hg 0.7494 0.9999 0.8742
Se 0.2805 0.7646 0.4059
Se 0.7805 0.2354 0.5941
Hg 0.7629 0.6392 0.2253
O 0.0770 0.4969 0.3386
O 0.4577 0.8522 0.0048
Hg 0.2599 0.9330 0.6417
Se 0.2272 0.7388 0.9637
Se 0.2639 0.3809 0.2799
O 0.9508 0.7159 0.6085
O 0.9983 0.7754 0.0577
O 0.5836 0.7337 0.7770
O 0.0409 0.8683 0.3149
O 0.4073 0.9068 0.4681
O 0.4508 0.2841 0.3915
Se 0.7639 0.6191 0.7201
O 0.6067 0.1269 0.1692
O 0.9364 0.5018 0.8353
O 0.4364 0.4982 0.1647
O 0.5409 0.1317 0.6851
Hg 0.7599 0.0670 0.3583
O 0.9909 0.2069 0.7131
O 0.4983 0.2246 0.9423

Results
Magnetization ... 0.00 μB/f.u.
Formation energy from raw total energies ... -0.58 eV per atom
V ... 525.46 Å³/cell
Crystal system ... monoclinic


6.
The following is a PBE calculation of a geometry-optimized HgSeO2 structure, from the Alexandria database.

Cell lengths 6.8023, 6.8023, 6.8023 Å; angles 28.58, 28.58, 28.58 degrees
Sites, in units of the cell vectors:
Se 0.0000 0.0000 0.0000
O 0.0970 0.0970 0.0970
O 0.9030 0.9030 0.9030
Hg 0.5000 0.5000 0.5000

Results
Magnetization ... 0.00 μB/f.u.
Formation energy from raw total energies ... -0.17 eV per atom
V ... 63.68 Å³/cell
Crystal system ... trigonal
Energy relative to the lowest polymorph listed for this composition ... 191 meV per atom